No. 1
Compound: Dy2SnAu2
Source: Alexandria via LeMat-Bulk
Functional: PBEsol
Structure: optimized geometry

Geometry as POSCAR:
```
Dy2SnAu2
1.0
7.776 0.000 0.000
0.000 7.776 0.000
0.000 0.000 7.382
Dy Sn Au
8 4 8
direct
0.156 0.156 0.000 Dy
0.186 0.186 0.500 Dy
0.314 0.686 0.000 Dy
0.344 0.656 0.500 Dy
0.656 0.344 0.500 Dy
0.686 0.314 0.000 Dy
0.814 0.814 0.500 Dy
0.844 0.844 0.000 Dy
0.000 0.500 0.250 Sn
0.000 0.500 0.750 Sn
0.500 0.000 0.250 Sn
0.500 0.000 0.750 Sn
0.127 0.873 0.281 Au
0.127 0.873 0.719 Au
0.373 0.373 0.219 Au
0.373 0.373 0.781 Au
0.627 0.627 0.219 Au
0.627 0.627 0.781 Au
0.873 0.127 0.281 Au
0.873 0.127 0.719 Au
```

**SG**: No. 136
**Formation energy**: -890 meV/atom
**DOS at the Fermi energy**: 8.36 states/eV/cell
**Uncorrected energy**: -5.30 eV per atom

***

No. 2
Compound: KAl
Source: Alexandria via LeMat-Bulk
Functional: PBEsol
Structure: optimized geometry

Geometry as POSCAR:
```
KAl
1.0
3.193 0.000 0.000
0.000 3.193 0.000
0.000 0.000 5.730
K Al
1 1
direct
0.000 0.000 0.000 K
0.500 0.500 0.500 Al
```

**SG**: No. 123
**Formation energy**: 503 meV/atom
**Energy relative to the lowest polymorph listed for this composition**: 0.201 eV/atom
**DOS at the Fermi energy**: 1.59 states/eV/cell
**Uncorrected energy**: -2.11 eV per atom